# RbTl12Sb4, relaxed, DFT GGA-PBE
data_RbTl12Sb4
_space_group_name_H-M_alt 'P 1'
_space_group_IT_number 1
_cell_length_a 9.365
_cell_length_b 9.365
_cell_length_c 9.365
_cell_angle_alpha 109.47
_cell_angle_beta 109.47
_cell_angle_gamma 109.47
loop_
_space_group_symop_operation_xyz
'x,y,z'
loop_
_atom_site_label
_atom_site_type_symbol
_atom_site_fract_x
_atom_site_fract_y
_atom_site_fract_z
Rb1 Rb 0.000 0.000 0.000
Tl1 Tl 0.853 0.352 0.205
Tl2 Tl 0.352 0.499 0.147
Tl3 Tl 0.795 0.147 0.648
Tl4 Tl 0.352 0.205 0.853
Tl5 Tl 0.205 0.853 0.352
Tl6 Tl 0.648 0.501 0.853
Tl7 Tl 0.499 0.147 0.352
Tl8 Tl 0.501 0.853 0.648
Tl9 Tl 0.648 0.795 0.147
Tl10 Tl 0.853 0.648 0.501
Tl11 Tl 0.147 0.352 0.499
Tl12 Tl 0.147 0.648 0.795
Sb1 Sb 0.000 0.500 0.000
Sb2 Sb 0.500 0.000 0.000
Sb3 Sb 0.500 0.500 0.500
Sb4 Sb 0.000 0.000 0.500
# - Formation energy without anion corrections: 0.04 eV per atom
# - Volume: 37.19 Å³/atom
# - Fermi-level density of states: 0.64 states/eV per atom
# - Space group: No. 204

# RbTl8Sb2, relaxed, DFT GGA-PBE
data_RbTl8Sb2
_space_group_name_H-M_alt 'P 1'
_space_group_IT_number 1
_cell_length_a 6.884
_cell_length_b 6.884
_cell_length_c 10.244
_cell_angle_alpha 90.00
_cell_angle_beta 90.00
_cell_angle_gamma 90.00
loop_
_space_group_symop_operation_xyz
'x,y,z'
loop_
_atom_site_label
_atom_site_type_symbol
_atom_site_fract_x
_atom_site_fract_y
_atom_site_fract_z
Rb1 Rb 0.500 0.500 0.500
Tl1 Tl 0.753 0.753 0.204
Tl2 Tl 0.753 0.247 0.796
Tl3 Tl 0.753 0.753 0.796
Tl4 Tl 0.753 0.247 0.204
Tl5 Tl 0.247 0.753 0.204
Tl6 Tl 0.247 0.753 0.796
Tl7 Tl 0.247 0.247 0.204
Tl8 Tl 0.247 0.247 0.796
Sb1 Sb 0.500 0.000 0.000
Sb2 Sb 0.000 0.500 0.000
# - Formation energy without anion corrections: 0.01 eV per atom
# - Volume: 44.14 Å³/atom
# - Fermi-level density of states: 0.39 states/eV per atom
# - Space group: No. 123

# RbTl6Sb4, relaxed, DFT GGA-PBE
data_RbTl6Sb4
_space_group_name_H-M_alt 'P 1'
_space_group_IT_number 1
_cell_length_a 5.273
_cell_length_b 9.119
_cell_length_c 9.119
_cell_angle_alpha 120.00
_cell_angle_beta 90.00
_cell_angle_gamma 90.00
loop_
_space_group_symop_operation_xyz
'x,y,z'
loop_
_atom_site_label
_atom_site_type_symbol
_atom_site_fract_x
_atom_site_fract_y
_atom_site_fract_z
Rb1 Rb 0.000 0.000 0.000
Tl1 Tl 0.000 0.533 0.066
Tl2 Tl 0.500 0.600 0.800
Tl3 Tl 0.000 0.533 0.467
Tl4 Tl 0.000 0.934 0.467
Tl5 Tl 0.500 0.200 0.800
Tl6 Tl 0.500 0.200 0.400
Sb1 Sb 0.500 0.788 0.576
Sb2 Sb 0.500 0.424 0.212
Sb3 Sb 0.500 0.788 0.212
Sb4 Sb 0.000 0.333 0.667
# - Formation energy without anion corrections: -0.03 eV per atom
# - Volume: 34.52 Å³/atom
# - Fermi-level density of states: 0.50 states/eV per atom
# - Space group: No. 187

# Rb2TlSb, relaxed, DFT GGA-PBE
data_Rb2TlSb
_space_group_name_H-M_alt 'P 1'
_space_group_IT_number 1
_cell_length_a 4.827
_cell_length_b 7.490
_cell_length_c 10.731
_cell_angle_alpha 108.19
_cell_angle_beta 90.00
_cell_angle_gamma 90.00
loop_
_space_group_symop_operation_xyz
'x,y,z'
loop_
_atom_site_label
_atom_site_type_symbol
_atom_site_fract_x
_atom_site_fract_y
_atom_site_fract_z
Rb1 Rb 0.250 0.235 0.433
Rb2 Rb 0.750 0.765 0.567
Rb3 Rb 0.750 0.296 0.079
Rb4 Rb 0.250 0.704 0.921
Tl1 Tl 0.750 0.860 0.217
Tl2 Tl 0.250 0.140 0.783
Sb1 Sb 0.250 0.654 0.282
Sb2 Sb 0.750 0.346 0.718
# - Formation energy without anion corrections: -0.32 eV per atom
# - Volume: 46.07 Å³/atom
# - Fermi-level density of states: 0.00 states/eV per atom
# - Space group: No. 11
# - Excess energy over the best structure of this formula in the dataset: 0 meV/atom

# RbTl9Sb2, relaxed, DFT GGA-PBE
data_RbTl9Sb2
_space_group_name_H-M_alt 'P 1'
_space_group_IT_number 1
_cell_length_a 3.904
_cell_length_b 11.054
_cell_length_c 11.054
_cell_angle_alpha 120.00
_cell_angle_beta 90.00
_cell_angle_gamma 90.00
loop_
_space_group_symop_operation_xyz
'x,y,z'
loop_
_atom_site_label
_atom_site_type_symbol
_atom_site_fract_x
_atom_site_fract_y
_atom_site_fract_z
Rb1 Rb 0.000 0.000 0.000
Tl1 Tl 0.500 0.807 0.193
Tl2 Tl 0.000 0.000 0.500
Tl3 Tl 0.000 0.500 0.500
Tl4 Tl 0.500 0.807 0.614
Tl5 Tl 0.500 0.193 0.807
Tl6 Tl 0.500 0.614 0.807
Tl7 Tl 0.500 0.193 0.386
Tl8 Tl 0.000 0.500 0.000
Tl9 Tl 0.500 0.386 0.193
Sb1 Sb 0.000 0.667 0.333
Sb2 Sb 0.000 0.333 0.667
# - Formation energy without anion corrections: -0.02 eV per atom
# - Volume: 34.43 Å³/atom
# - Fermi-level density of states: 0.58 states/eV per atom
# - Space group: No. 191

# Rb5Tl6Sb, relaxed, DFT GGA-PBE
data_Rb5Tl6Sb
_space_group_name_H-M_alt 'P 1'
_space_group_IT_number 1
_cell_length_a 9.967
_cell_length_b 7.533
_cell_length_c 9.132
_cell_angle_alpha 65.64
_cell_angle_beta 79.17
_cell_angle_gamma 62.89
loop_
_space_group_symop_operation_xyz
'x,y,z'
loop_
_atom_site_label
_atom_site_type_symbol
_atom_site_fract_x
_atom_site_fract_y
_atom_site_fract_z
Sb1 Sb 0.000 0.000 0.000
Tl1 Tl 0.693 0.942 0.000
Tl2 Tl 0.816 0.965 0.310
Tl3 Tl 0.184 0.725 0.310
Tl4 Tl 0.184 0.035 0.690
Tl5 Tl 0.816 0.275 0.690
Tl6 Tl 0.307 0.058 0.000
Rb1 Rb 0.500 0.203 0.594
Rb2 Rb 0.000 0.631 0.738
Rb3 Rb 0.000 0.369 0.262
Rb4 Rb 0.500 0.500 0.000
Rb5 Rb 0.500 0.797 0.406
# - Formation energy without anion corrections: -0.08 eV per atom
# - Volume: 46.33 Å³/atom
# - Fermi-level density of states: 0.65 states/eV per atom
# - Space group: No. 12

# RbTl3Sb3, relaxed, DFT GGA-PBE
data_RbTl3Sb3
_space_group_name_H-M_alt 'P 1'
_space_group_IT_number 1
_cell_length_a 8.204
_cell_length_b 8.204
_cell_length_c 8.204
_cell_angle_alpha 75.50
_cell_angle_beta 75.50
_cell_angle_gamma 75.50
loop_
_space_group_symop_operation_xyz
'x,y,z'
loop_
_atom_site_label
_atom_site_type_symbol
_atom_site_fract_x
_atom_site_fract_y
_atom_site_fract_z
Rb1 Rb 0.388 0.388 0.388
Rb2 Rb 0.612 0.612 0.612
Tl1 Tl 0.743 0.627 0.019
Tl2 Tl 0.019 0.743 0.627
Tl3 Tl 0.627 0.019 0.743
Tl4 Tl 0.373 0.981 0.257
Tl5 Tl 0.981 0.257 0.373
Tl6 Tl 0.257 0.373 0.981
Sb1 Sb 0.692 0.232 0.985
Sb2 Sb 0.232 0.985 0.692
Sb3 Sb 0.985 0.692 0.232
Sb4 Sb 0.015 0.308 0.768
Sb5 Sb 0.768 0.015 0.308
Sb6 Sb 0.308 0.768 0.015
# - Formation energy without anion corrections: -0.05 eV per atom
# - Volume: 36.22 Å³/atom
# - Fermi-level density of states: 0.52 states/eV per atom
# - Space group: No. 148
# - Excess energy over the best structure of this formula in the dataset: 0 meV/atom

# Rb2Tl9Sb4, relaxed, DFT GGA-PBE
data_Rb2Tl9Sb4
_space_group_name_H-M_alt 'P 1'
_space_group_IT_number 1
_cell_length_a 5.509
_cell_length_b 5.509
_cell_length_c 20.277
_cell_angle_alpha 90.00
_cell_angle_beta 90.00
_cell_angle_gamma 120.00
loop_
_space_group_symop_operation_xyz
'x,y,z'
loop_
_atom_site_label
_atom_site_type_symbol
_atom_site_fract_x
_atom_site_fract_y
_atom_site_fract_z
Rb1 Rb 0.333 0.667 0.759
Rb2 Rb 0.667 0.333 0.241
Tl1 Tl 0.000 0.000 0.334
Tl2 Tl 0.000 0.000 0.666
Tl3 Tl 0.000 0.000 0.854
Tl4 Tl 0.000 0.000 0.146
Tl5 Tl 0.333 0.667 0.561
Tl6 Tl 0.667 0.333 0.439
Tl7 Tl 0.667 0.333 0.049
Tl8 Tl 0.333 0.667 0.951
Tl9 Tl 0.000 0.000 0.500
Sb1 Sb 0.333 0.667 0.390
Sb2 Sb 0.667 0.333 0.610
Sb3 Sb 0.667 0.333 0.892
Sb4 Sb 0.333 0.667 0.108
# - Formation energy without anion corrections: -0.09 eV per atom
# - Volume: 35.53 Å³/atom
# - Fermi-level density of states: 0.27 states/eV per atom
# - Space group: No. 164